Record 1
Here is ScCrCl2 at its PBEsol-relaxed geometry from the Alexandria database. Energies are from meta-GGA SCAN.

**Calculated density**: 3.74 g/cm³
**Magnetic moment**: 0.76 μB/atom
**Raw total energy**: -0.4824 hartree per atom
**Energy above the most stable polymorph in this dataset**: 0 kJ/mol of formula units

Cell lengths 3.474, 3.509, 6.360 Å; angles 105.99, 90.00, 90.00 degrees
Last column: magnetic moment on the atom in μB.
Atoms (fractional coordinates):
Sc1 0.500 0.464 0.802  -0.41
Cr1 0.000 0.826 0.528  3.47
Cl1 0.000 0.021 0.917  -0.04
Cl2 0.500 0.689 0.254  0.00

---

Record 2
Here is CrSe2Cl at its PBEsol-relaxed geometry from the Alexandria database. Energies are from meta-GGA SCAN.

**Calculated density**: 4.60 g/cm³
**Magnetic moment**: 0.75 μB/atom
**Raw total energy**: -0.6321 hartree per atom
**Energy above the most stable polymorph in this dataset**: 0 kJ/mol of formula units

Cell lengths 3.731, 3.707, 7.762 Å; angles 104.78, 90.00, 120.22 degrees
Last column: magnetic moment on the atom in μB.
Atoms (fractional coordinates):
Cr1 0.500 0.000 0.500  2.96
Se1 0.105 0.209 0.331  -0.05
Se2 0.895 0.791 0.669  -0.05
Cl1 0.000 0.000 0.000  -0.01

---

Record 3
Here is Cr2SeCl at its PBEsol-relaxed geometry from the Alexandria database. Energies are from meta-GGA SCAN.

**Calculated density**: 5.06 g/cm³
**Magnetic moment**: 0.42 μB/atom
**Raw total energy**: -0.6023 hartree per atom
**Energy above the most stable polymorph in this dataset**: 132 kJ/mol of formula units

Cell lengths 3.515, 3.512, 5.811 Å; angles 90.00, 89.90, 90.00 degrees
Last column: magnetic moment on the atom in μB.
Atoms (fractional coordinates):
Cr1 0.125 0.000 0.118  0.91
Cr2 0.625 0.500 0.118  0.89
Se1 0.624 0.000 0.397  -0.08
Cl1 0.126 0.500 0.867  -0.03

---

Record 4
Here is CrSeCl2 at its PBEsol-relaxed geometry from the Alexandria database. Energies are from meta-GGA SCAN.

**Calculated density**: 3.83 g/cm³
**Magnetic moment**: 0.72 μB/atom
**Raw total energy**: -0.5225 hartree per atom
**Energy above the most stable polymorph in this dataset**: 0 kJ/mol of formula units

Cell lengths 3.002, 5.077, 6.457 Å; angles 113.15, 103.44, 90.00 degrees
Last column: magnetic moment on the atom in μB.
Atoms (fractional coordinates):
Cr1 0.000 0.500 0.000  3.23
Se1 0.500 0.000 0.000  -0.30
Cl1 0.655 0.655 0.310  -0.06
Cl2 0.345 0.345 0.690  -0.06

---

Record 5
Here is Cr2SeCl at its PBEsol-relaxed geometry from the Alexandria database. Energies are from meta-GGA SCAN.

**Calculated density**: 4.69 g/cm³
**Magnetic moment**: 2.25 μB/atom
**Raw total energy**: -0.6149 hartree per atom
**Energy above the most stable polymorph in this dataset**: 0 kJ/mol of formula units

Cell lengths 3.443, 3.515, 6.844 Å; angles 104.88, 104.57, 90.00 degrees
Last column: magnetic moment on the atom in μB.
Atoms (fractional coordinates):
Cr1 0.028 0.028 0.055  4.03
Cr2 0.804 0.304 0.607  4.17
Se1 0.460 0.460 0.919  -0.14
Cl1 0.209 0.709 0.418  0.05

---

Record 6
Here is CrSeCl at its PBEsol-relaxed geometry from the Alexandria database. Energies are from meta-GGA SCAN.

**Calculated density**: 4.82 g/cm³
**Magnetic moment**: 1.00 μB/atom
**Raw total energy**: -0.5902 hartree per atom

Cell lengths 3.090, 3.090, 6.388 Å; angles 104.00, 104.00, 90.00 degrees
Last column: magnetic moment on the atom in μB.
Atoms (fractional coordinates):
Cr1 0.674 0.674 0.348  3.40
Se1 0.287 0.287 0.574  -0.44
Cl1 0.039 0.039 0.078  -0.03

---

Record 7
Here is Cr2SeCl at its PBEsol-relaxed geometry from the Alexandria database. Energies are from meta-GGA SCAN.

**Calculated density**: 5.14 g/cm³
**Magnetic moment**: 2.25 μB/atom
**Raw total energy**: -0.6085 hartree per atom
**Energy above the most stable polymorph in this dataset**: 67 kJ/mol of formula units

Cell lengths 3.256, 3.256, 6.655 Å; angles 90.00, 90.00, 90.00 degrees
Last column: magnetic moment on the atom in μB.
Atoms (fractional coordinates):
Cr1 0.000 0.000 0.774  4.15
Cr2 0.000 0.000 0.226  4.15
Se1 0.500 0.500 0.000  -0.25
Cl1 0.500 0.500 0.500  0.06

---

Record 8
Here is CrSeCl2 at its PBEsol-relaxed geometry from the Alexandria database. Energies are from meta-GGA SCAN.

**Calculated density**: 4.39 g/cm³
**Magnetic moment**: 1.07 μB/atom
**Raw total energy**: -0.5059 hartree per atom
**Energy above the most stable polymorph in this dataset**: 174 kJ/mol of formula units

Cell lengths 3.277, 4.134, 5.632 Å; angles 90.00, 90.00, 90.00 degrees
Last column: magnetic moment on the atom in μB.
Atoms (fractional coordinates):
Cr1 0.500 0.500 0.000  4.07
Se1 0.000 0.500 0.500  -0.08
Cl1 0.000 0.000 0.000  -0.04
Cl2 0.500 0.000 0.500  0.01